Entry 1:
{"formula": "Hf2Zn5Pd2Au3", "functional": "GGA-PBE", "state": "relaxed", "lattice_angstrom": [[3.702, 0.000, 0.000], [0.000, 3.702, 0.000], [-1.851, -1.851, 15.097]], "species": ["Hf", "Hf", "Zn", "Zn", "Zn", "Zn", "Zn", "Au", "Au", "Au", "Pd", "Pd"], "fractional_positions": [[0.720, 0.720, 0.441], [0.280, 0.280, 0.559], [0.427, 0.927, 0.854], [0.573, 0.073, 0.146], [0.073, 0.573, 0.146], [0.500, 0.500, 0.000], [0.927, 0.427, 0.854], [0.000, 0.000, 0.000], [0.176, 0.176, 0.353], [0.824, 0.824, 0.647], [0.632, 0.632, 0.263], [0.368, 0.368, 0.737]], "total_energy_ev_per_cell": -49.61, "formation_enthalpy_0k_ev_per_atom": -0.259, "dos_ef_per_ev_atom": 0.567, "spacegroup": "I4/mmm"}

=====

Entry 2:
{"formula": "Hf2ZrPdAu", "functional": "GGA-PBE", "state": "relaxed", "lattice_angstrom": [[5.043, 0.000, 0.000], [0.000, 4.976, 0.000], [0.000, 0.000, 5.043]], "species": ["Au", "Pd", "Hf", "Hf", "Zr"], "fractional_positions": [[0.000, 0.000, 0.000], [0.000, 0.500, 0.000], [0.000, 0.000, 0.500], [0.500, 0.000, 0.000], [0.500, 0.500, 0.500]], "total_energy_ev_per_cell": -33.25, "formation_enthalpy_0k_ev_per_atom": 0.734, "dos_ef_per_ev_atom": 1.629, "spacegroup": "P4/mmm"}

=====

Entry 3:
{"formula": "Pm2HfAu", "functional": "GGA-PBE", "state": "relaxed", "lattice_angstrom": [[3.512, 0.000, 0.000], [0.000, 3.512, 0.000], [0.000, 0.000, 8.613]], "species": ["Hf", "Au", "Pm", "Pm"], "fractional_positions": [[0.500, 0.500, 0.500], [0.500, 0.500, 0.000], [0.000, 0.000, 0.768], [0.000, 0.000, 0.232]], "total_energy_ev_per_cell": -23.75, "formation_enthalpy_0k_ev_per_atom": -0.255, "dos_ef_per_ev_atom": 0.917, "spacegroup": "P4/mmm"}

=====

Entry 4:
{"formula": "PmHfAu2", "functional": "GGA-PBE", "state": "relaxed", "lattice_angstrom": [[5.014, 0.000, 0.000], [2.507, 4.343, 0.000], [2.507, 1.448, 4.094]], "species": ["Au", "Au", "Pm", "Hf"], "fractional_positions": [[0.750, 0.750, 0.750], [0.250, 0.250, 0.250], [0.000, 0.000, 0.000], [0.500, 0.500, 0.500]], "total_energy_ev_per_cell": -23.20, "formation_enthalpy_0k_ev_per_atom": -0.486, "dos_ef_per_ev_atom": 1.068, "spacegroup": "Fm-3m"}

=====

Entry 5:
{"formula": "PmHfAu2", "functional": "GGA-PBE", "state": "relaxed", "lattice_angstrom": [[3.819, 0.000, 0.000], [1.909, 3.307, 0.000], [1.909, 1.102, 7.777]], "species": ["Au", "Au", "Hf", "Pm"], "fractional_positions": [[0.760, 0.760, 0.721], [0.240, 0.240, 0.279], [0.500, 0.500, 0.500], [0.000, 0.000, 0.000]], "total_energy_ev_per_cell": -22.93, "formation_enthalpy_0k_ev_per_atom": -0.418, "dos_ef_per_ev_atom": 0.602, "spacegroup": "R-3m"}

=====

Entry 6:
{"formula": "PmHfAu4", "functional": "GGA-PBE", "state": "relaxed", "lattice_angstrom": [[-2.522, -0.790, -2.567], [-1.778, -2.147, 2.408], [-4.965, 7.123, 2.685]], "species": ["Hf", "Au", "Au", "Au", "Au", "Pm"], "fractional_positions": [[0.000, 0.000, 0.000], [0.500, 0.500, 0.844], [0.500, 0.500, 0.156], [0.000, 0.000, 0.683], [0.000, 0.000, 0.317], [0.500, 0.500, 0.500]], "total_energy_ev_per_cell": -31.71, "formation_enthalpy_0k_ev_per_atom": -0.650, "dos_ef_per_ev_atom": 0.414, "spacegroup": "P4/mmm"}